1.
# Sc3Al3Co2

Crystalline Sc3Al3Co2 at its relaxed geometry (PBE, Alexandria via LeMat-Bulk).

a b c (Å): 5.4212 7.0173 14.5402
angles (deg): 90.00 90.00 90.00
Last column: nearest neighbours and their distance in Å.
Positions (direct):
Sc (0.8544, 0.8310, 0.2500)  4 Co 2.73-2.91, 3 Al 2.84-2.98
Sc (0.8986, 0.5354, 0.8904)  2 Co 2.63-2.85, 2 Al 2.88-2.90
Sc (0.1456, 0.1690, 0.7500)  4 Co 2.73-2.91, 3 Al 2.84-2.98
Sc (0.3544, 0.6690, 0.7500)  4 Co 2.73-2.91, 3 Al 2.84-2.98
Sc (0.3986, 0.9646, 0.3904)  2 Co 2.63-2.85, 2 Al 2.88-2.90
Sc (0.6014, 0.0354, 0.6096)  2 Co 2.63-2.85, 2 Al 2.88-2.90
Sc (0.6456, 0.3310, 0.2500)  4 Co 2.73-2.91, 3 Al 2.84-2.98
Sc (0.8986, 0.5354, 0.6096)  2 Co 2.63-2.85, 2 Al 2.88-2.90
Sc (0.3986, 0.9646, 0.1096)  2 Co 2.63-2.85, 2 Al 2.88-2.90
Sc (0.1014, 0.4646, 0.1096)  2 Co 2.63-2.85, 2 Al 2.88-2.90
Sc (0.1014, 0.4646, 0.3904)  2 Co 2.63-2.85, 2 Al 2.88-2.90
Sc (0.6014, 0.0354, 0.8904)  2 Co 2.63-2.85, 2 Al 2.88-2.90
Co (0.3761, 0.3670, 0.8871)  4 Al 2.37-2.46, 1 Sc 2.63
Co (0.8761, 0.1330, 0.3871)  4 Al 2.37-2.46, 1 Sc 2.63
Co (0.6239, 0.6330, 0.1129)  4 Al 2.37-2.46, 1 Sc 2.63
Co (0.1239, 0.8670, 0.6129)  4 Al 2.37-2.46, 1 Sc 2.63
Co (0.1239, 0.8670, 0.8871)  4 Al 2.37-2.46, 1 Sc 2.63
Co (0.8761, 0.1330, 0.1129)  4 Al 2.37-2.46, 1 Sc 2.63
Co (0.3761, 0.3670, 0.6129)  4 Al 2.37-2.46, 1 Sc 2.63
Co (0.6239, 0.6330, 0.3871)  4 Al 2.37-2.46, 1 Sc 2.63
Al (0.5947, 0.3333, 0.0340)  3 Co 2.37-2.45
Al (0.4053, 0.6667, 0.5340)  3 Co 2.37-2.45
Al (0.8636, 0.8275, 0.7500)  2 Co 2.46
Al (0.3636, 0.6725, 0.2500)  2 Co 2.46
Al (0.0947, 0.1667, 0.5340)  3 Co 2.37-2.45
Al (0.4053, 0.6667, 0.9660)  3 Co 2.37-2.45
Al (0.0947, 0.1667, 0.9660)  3 Co 2.37-2.45
Al (0.6364, 0.3275, 0.7500)  2 Co 2.46
Al (0.1364, 0.1725, 0.2500)  2 Co 2.46
Al (0.9053, 0.8333, 0.0340)  3 Co 2.37-2.45
Al (0.5947, 0.3333, 0.4660)  3 Co 2.37-2.45
Al (0.9053, 0.8333, 0.4660)  3 Co 2.37-2.45

Computed properties:
magnetic moment = 0.0 μB/f.u.
energy relative to the elements = -455 meV/atom
ρ = 4.01 g/cm3

2.
# Sc2AlCo2

Crystalline Sc2AlCo2 at its relaxed geometry (PBE, Alexandria via LeMat-Bulk).

a b c (Å): 7.4284 7.4284 2.9128
angles (deg): 90.00 90.00 90.00
Last column: nearest neighbours and their distance in Å.
Positions (direct):
Co (0.6607, 0.8393, 0.5000)  6 Sc 2.54-2.68
Co (0.3393, 0.1607, 0.5000)  6 Sc 2.54-2.68
Co (0.8393, 0.3393, 0.5000)  6 Sc 2.54-2.68
Co (0.1607, 0.6607, 0.5000)  6 Sc 2.54-2.68
Al (0.5000, 0.5000, 0.0000)  4 Sc 2.86, 2 Al 2.91, 8 Co 3.15
Al (0.0000, 0.0000, 0.0000)  4 Sc 2.86, 2 Al 2.91, 8 Co 3.15
Sc (0.1412, 0.3588, 0.0000)  6 Co 2.54-2.68
Sc (0.3588, 0.8588, 0.0000)  6 Co 2.54-2.68
Sc (0.8588, 0.6412, 0.0000)  6 Co 2.54-2.68
Sc (0.6412, 0.1412, 0.0000)  6 Co 2.54-2.68

Computed properties:
magnetic moment = 0.0 μB/f.u.
energy relative to the elements = -21 meV/atom
ρ = 4.85 g/cm3

3.
# ScAl4Co

Crystalline ScAl4Co at its relaxed geometry (PBE, Alexandria via LeMat-Bulk).

a b c (Å): 6.3006 6.3006 6.8621
angles (deg): 62.67 62.67 90.02
Last column: nearest neighbours and their distance in Å.
Positions (direct):
Co (0.2500, 0.2500, 0.5000)  8 Al 2.58, 2 Sc 2.61
Co (0.7500, 0.7500, 0.5000)  8 Al 2.58, 2 Sc 2.61
Al (0.3097, 0.5015, 0.6890)  2 Co 2.58, 4 Al 2.61-2.77, 2 Sc 2.88-2.89
Al (0.4990, 0.9990, 0.3107)  2 Co 2.58, 4 Al 2.61-2.77, 2 Sc 2.88
Al (0.9985, 0.1903, 0.3110)  2 Co 2.58, 4 Al 2.61-2.77, 2 Sc 2.88-2.89
Al (0.6903, 0.4985, 0.3110)  2 Co 2.58, 4 Al 2.61-2.77, 2 Sc 2.88-2.89
Al (0.5010, 0.0010, 0.6893)  2 Co 2.58, 4 Al 2.61-2.77, 2 Sc 2.88
Al (0.1904, 0.6904, 0.3109)  2 Co 2.58, 4 Al 2.61-2.77, 2 Sc 2.89
Al (0.8096, 0.3096, 0.6891)  2 Co 2.58, 4 Al 2.61-2.77, 2 Sc 2.89
Al (0.0015, 0.8097, 0.6890)  2 Co 2.58, 4 Al 2.61-2.77, 2 Sc 2.88-2.89
Sc (0.0000, 0.0000, 0.0000)  2 Co 2.61, 8 Al 2.88-2.89
Sc (0.5000, 0.5000, 0.0000)  2 Co 2.61, 8 Al 2.88-2.89

Computed properties:
magnetic moment = 0.0 μB/f.u.
energy relative to the elements = -233 meV/atom
ρ = 3.40 g/cm3

4.
# Sc2Al4Co

Crystalline Sc2Al4Co at its relaxed geometry (PBE, Alexandria via LeMat-Bulk).

a b c (Å): 4.3584 4.3584 7.7989
angles (deg): 73.77 73.77 90.00
Last column: nearest neighbours and their distance in Å.
Positions (direct):
Sc (0.6443, 0.6443, 0.7114)  9 Al 2.78-3.09
Sc (0.3557, 0.3557, 0.2886)  9 Al 2.78-3.09
Al (0.5000, 0.0000, 0.0000)  2 Co 2.18
Al (0.0000, 0.5000, 0.0000)  2 Co 2.18
Al (0.1614, 0.1614, 0.6772)  1 Co 2.31
Al (0.8386, 0.8386, 0.3228)  1 Co 2.31
Co (0.0000, 0.0000, 0.0000)  6 Al 2.18-2.31

Computed properties:
magnetic moment = 0.0 μB/f.u.
energy relative to the elements = -125 meV/atom
ρ = 3.13 g/cm3